No. 1
This record from the Alexandria database describes TcSbAuI2 at its PBEsol-relaxed geometry. The functional is meta-GGA SCAN.

Summary:
- Crystal system: tetragonal
- VASP energy: -42.2098 eV per atom
- Formation energy without anion corrections: 782 meV/atom

The structure in CIF format:
```
data_TcSbAuI2
_chemical_formula_sum 'Tc1 Sb1 Au1 I2'
_space_group_name_H-M_alt 'P 4/m m m'
_space_group_IT_number 123
_space_group_name_Hall '-P 4 2'
_cell_length_a 5.293
_cell_length_b 5.293
_cell_length_c 5.087
_cell_angle_alpha 90.00
_cell_angle_beta 90.00
_cell_angle_gamma 90.00
loop_
_atom_site_label
_atom_site_type_symbol
_atom_site_fract_x
_atom_site_fract_y
_atom_site_fract_z
_atom_site_occupancy
Tc1 Tc 0.000 0.000 0.000 1
Sb1 Sb 0.000 0.000 0.500 1
Au1 Au 0.500 0.500 0.500 1
I1 I 0.000 0.500 0.000 1
```

***

No. 2
This record from the Alexandria database describes ZrSc2Cd at its PBEsol-relaxed geometry. The functional is meta-GGA SCAN.

Summary:
- ΔE to the lowest computed polymorph: 0.1249 eV/atom
- Formation energy: -0.0860 eV/atom
- Crystal system: trigonal
- VASP energy: -22.4828 eV per atom

The structure in CIF format:
```
data_ZrSc2Cd
_chemical_formula_sum 'Zr3 Sc6 Cd3'
_space_group_name_H-M_alt 'R -3 m'
_space_group_IT_number 166
_space_group_name_Hall '-R 3 2"'
_cell_length_a 3.1877
_cell_length_b 3.1877
_cell_length_c 30.1752
_cell_angle_alpha 90.00
_cell_angle_beta 90.00
_cell_angle_gamma 120.00
loop_
_atom_site_label
_atom_site_type_symbol
_atom_site_fract_x
_atom_site_fract_y
_atom_site_fract_z
_atom_site_occupancy
Zr1 Zr 0.0000 0.0000 0.0000 1
Sc1 Sc 0.0000 0.0000 0.2499 1
Cd1 Cd 0.0000 0.0000 0.5000 1
```

***

No. 3
This record from the Alexandria database describes SrAlCu3 at its PBEsol-relaxed geometry. The functional is meta-GGA SCAN.

Summary:
- ΔE to the lowest computed polymorph: 1.5099 eV/atom
- Formation energy: 1.6076 eV/atom
- Crystal system: cubic
- VASP energy: -13.5175 eV per atom

The structure in CIF format:
```
data_SrAlCu3
_chemical_formula_sum 'Sr1 Al1 Cu3'
_space_group_name_H-M_alt 'P m -3 m'
_space_group_IT_number 221
_space_group_name_Hall '-P 4 2 3'
_cell_length_a 5.148
_cell_length_b 5.148
_cell_length_c 5.148
_cell_angle_alpha 90.00
_cell_angle_beta 90.00
_cell_angle_gamma 90.00
loop_
_atom_site_label
_atom_site_type_symbol
_atom_site_fract_x
_atom_site_fract_y
_atom_site_fract_z
_atom_site_occupancy
Sr1 Sr 0.000 0.000 0.000 1
Al1 Al 0.500 0.500 0.500 1
Cu1 Cu 0.000 0.000 0.500 1
```